Density functional theory data (PBE-GGA) for a relaxed CaB2O10 crystal.

## Properties
The formation energy from raw total energies comes out at -0.78 eV per atom. The density of states at the Fermi level comes out at 0.27 states/eV/f.u. For the mass density, the calculation gives 2.1 g/cm³. As for the crystal system: monoclinic. The value obtained for the total energy is -5.7732 eV per atom. The calculation puts the total magnetization at 8.00 μB per formula unit. As for the energy relative to the lowest polymorph listed for this composition: 519 meV per atom.

a b c (Å): 6.724 6.724 10.206
angles (deg): 90.08 90.08 50.18
Sites, in units of the cell vectors:
Ca 0.853 0.147 0.750
Ca 0.147 0.853 0.250
B 0.408 0.752 0.583
B 0.248 0.592 0.917
B 0.592 0.248 0.417
B 0.752 0.408 0.083
O 0.191 0.761 0.616
O 0.239 0.809 0.884
O 0.809 0.239 0.384
O 0.761 0.191 0.116
O 0.300 0.993 0.650
O 0.007 0.700 0.850
O 0.700 0.007 0.350
O 0.993 0.300 0.150
O 0.372 0.801 0.445
O 0.199 0.628 0.055
O 0.628 0.199 0.555
O 0.801 0.372 0.945
O 0.656 0.536 0.631
O 0.464 0.344 0.869
O 0.344 0.464 0.369
O 0.536 0.656 0.131
O 0.565 0.939 0.047
O 0.061 0.435 0.453
O 0.435 0.061 0.953
O 0.939 0.565 0.547